(1)
# Ba4ZrN4

A geometry-optimized Ba4ZrN4 structure (PBEsol, Alexandria via LeMat-Bulk).

abc: 6.8255 6.8368 9.9452
angles: 71.74 78.47 65.76
Space group P-1 (No. 2)
Unique sites:
Ba1 0.2125 0.4780 0.1191 [2 per cell]
Ba2 0.2356 0.9222 0.3376 [2 per cell]
Ba3 0.2458 0.2626 0.5362 [2 per cell]
Ba4 0.2842 0.0075 0.9362 [2 per cell]
Zr1 0.2813 0.6572 0.7420 [2 per cell]
N1 0.0382 0.8234 0.8743 [2 per cell]
N2 0.1069 0.6815 0.5804 [2 per cell]
N3 0.4527 0.3456 0.8741 [2 per cell]
N4 0.4857 0.8342 0.6861 [2 per cell]

**Spin magnetization**: 0.0 μB per formula unit
**V**: 22.25 Å³ per atom
**Formation energy (no corrections)**: -0.893 eV/atom

=====

(2)
# BaZrN2

A geometry-optimized BaZrN2 structure (PBEsol, Alexandria via LeMat-Bulk).

abc: 5.9821 5.9821 8.5448
angles: 90.00 90.00 90.00
Space group I-42d (No. 122)
Unique sites:
Ba1 0.0000 0.0000 0.0000 [4 per cell]
Zr1 0.0000 0.0000 0.5000 [4 per cell]
N1 0.1592 0.2500 0.6250 [8 per cell]

**DOS at the Fermi energy**: 0.00 states/eV/f.u.
**Spin magnetization**: 0.0 μB per formula unit
**V**: 19.11 Å³ per atom
**Formation energy (no corrections)**: -1.318 eV/atom

=====

(3)
# BaZr3N

A geometry-optimized BaZr3N structure (PBEsol, Alexandria via LeMat-Bulk).

abc: 4.6510 4.6510 4.6510
angles: 90.00 90.00 90.00
Space group Pm-3m (No. 221)
Unique sites:
Ba1 0.0000 0.0000 0.0000 [1 per cell]
Zr1 0.0000 0.5000 0.5000 [3 per cell]
N1 0.5000 0.5000 0.5000 [1 per cell]

**DOS at the Fermi energy**: 4.94 states/eV/f.u.
**Spin magnetization**: 0.0 μB per formula unit
**V**: 20.12 Å³ per atom
**Formation energy (no corrections)**: -0.204 eV/atom

=====

(4)
# Ba3Na

A geometry-optimized Ba3Na structure (PBEsol, Alexandria via LeMat-Bulk).

abc: 6.0420 6.0420 6.0420
angles: 90.00 90.00 90.00
Space group Pm-3m (No. 221)
Unique sites:
Ba1 0.0000 0.0000 0.5000 [3 per cell]
Na1 0.5000 0.5000 0.5000 [1 per cell]

**DOS at the Fermi energy**: 5.24 states/eV/f.u.
**Spin magnetization**: 0.0 μB per formula unit
**Distance to the lowest polymorph of the same formula**: 0.0 meV/atom
**V**: 55.14 Å³ per atom

=====

(5)
# Ba3Na

A geometry-optimized Ba3Na structure (PBEsol, Alexandria via LeMat-Bulk).

abc: 5.8820 5.8820 12.7744
angles: 90.00 90.00 90.00
Space group I4/mmm (No. 139)
Unique sites:
Ba1 0.0000 0.0000 0.0000 [2 per cell]
Ba2 0.0000 0.5000 0.2500 [4 per cell]
Na1 0.0000 0.0000 0.5000 [2 per cell]

**DOS at the Fermi energy**: 5.69 states/eV/f.u.
**Spin magnetization**: 0.0 μB per formula unit
**Distance to the lowest polymorph of the same formula**: 8.2 meV/atom
**V**: 55.25 Å³ per atom

=====

(6)
# BaNa2Nb

A geometry-optimized BaNa2Nb structure (PBEsol, Alexandria via LeMat-Bulk).

abc: 9.2845 9.2845 6.7156
angles: 90.00 90.00 90.00
Space group I-42d (No. 122)
Unique sites:
Ba1 0.0000 0.0000 0.0000 [4 per cell]
Na1 0.2123 0.7500 0.6250 [8 per cell]
Nb1 0.0000 0.0000 0.5000 [4 per cell]

**DOS at the Fermi energy**: 2.87 states/eV/f.u.
**Spin magnetization**: 4.3 μB per formula unit
**Distance to the lowest polymorph of the same formula**: 140.9 meV/atom
**V**: 36.18 Å³ per atom

=====

(7)
# BaNa2Nb

A geometry-optimized BaNa2Nb structure (PBEsol, Alexandria via LeMat-Bulk).

abc: 8.0705 8.0705 8.0705
angles: 90.00 90.00 90.00
Space group Fm-3m (No. 225)
Unique sites:
Ba1 0.0000 0.0000 0.0000 [4 per cell]
Na1 0.2500 0.2500 0.2500 [8 per cell]
Nb1 0.0000 0.0000 0.5000 [4 per cell]

**DOS at the Fermi energy**: 3.39 states/eV/f.u.
**Spin magnetization**: 4.3 μB per formula unit
**Distance to the lowest polymorph of the same formula**: 0.0 meV/atom
**V**: 32.85 Å³ per atom

=====

(8)
# Ba2NaNb

A geometry-optimized Ba2NaNb structure (PBEsol, Alexandria via LeMat-Bulk).

abc: 8.4879 8.4879 8.4879
angles: 90.00 90.00 90.00
Space group Fm-3m (No. 225)
Unique sites:
Ba1 0.2500 0.2500 0.2500 [8 per cell]
Na1 0.0000 0.0000 0.0000 [4 per cell]
Nb1 0.0000 0.0000 0.5000 [4 per cell]

**DOS at the Fermi energy**: 4.38 states/eV/f.u.
**Spin magnetization**: 4.2 μB per formula unit
**V**: 38.22 Å³ per atom
**Final energy**: -3.3270 eV per atom

=====

(9)
# Ba3NaNbO6

A geometry-optimized Ba3NaNbO6 structure (PBEsol, Alexandria via LeMat-Bulk).

abc: 10.2606 10.2606 11.9663
angles: 90.00 90.00 120.00
Space group R-3c (No. 167, hexagonal axes)
Unique sites:
Ba1 0.0000 0.3534 0.2500 [18 per cell]
Na1 0.0000 0.0000 0.2500 [6 per cell]
Nb1 0.0000 0.0000 0.0000 [6 per cell]
O1 0.0202 0.1703 0.4013 [36 per cell]

**DOS at the Fermi energy**: 0.00 states/eV/f.u.
**Spin magnetization**: 0.0 μB per formula unit
**V**: 16.53 Å³ per atom
**Formation energy (no corrections)**: -2.627 eV/atom

=====

(10)
# Ba3Na2Ti3Nb2O15

A geometry-optimized Ba3Na2Ti3Nb2O15 structure (PBEsol, Alexandria via LeMat-Bulk).

abc: 5.6206 28.1944 3.9863
angles: 90.00 90.00 90.00
Space group Cmmm (No. 65)
Unique sites:
Ba1 0.0000 0.0000 0.0000 [2 per cell]
Ba2 0.0000 0.4010 0.0000 [4 per cell]
Na1 0.0000 0.1942 0.0000 [4 per cell]
Ti1 0.0000 0.1006 0.5000 [4 per cell]
Ti2 0.0000 0.5000 0.5000 [2 per cell]
Nb1 0.0000 0.2993 0.5000 [4 per cell]
O1 0.0000 0.1004 0.0000 [4 per cell]
O2 0.0000 0.3005 0.0000 [4 per cell]
O3 0.0000 0.5000 0.0000 [2 per cell]
O4 0.2492 0.1496 0.5000 [8 per cell]
O5 0.2504 0.0500 0.5000 [8 per cell]
O6 0.2500 0.2500 0.5000 [4 per cell]

**DOS at the Fermi energy**: 0.00 states/eV/f.u.
**Spin magnetization**: 0.0 μB per formula unit
**V**: 12.63 Å³ per atom
**Formation energy (no corrections)**: -2.833 eV/atom

=====

(11)
# BaNaTiNbO6

A geometry-optimized BaNaTiNbO6 structure (PBEsol, Alexandria via LeMat-Bulk).

abc: 7.9573 7.9573 7.9573
angles: 90.00 90.00 90.00
Space group F-43m (No. 216)
Unique sites:
Ba1 0.0000 0.0000 0.0000 [4 per cell]
Na1 0.0000 0.0000 0.5000 [4 per cell]
Ti1 0.2500 0.2500 0.7500 [4 per cell]
Nb1 0.2500 0.2500 0.2500 [4 per cell]
O1 0.0024 0.2500 0.7500 [24 per cell]

**DOS at the Fermi energy**: 0.00 states/eV/f.u.
**Spin magnetization**: 0.0 μB per formula unit
**V**: 12.60 Å³ per atom
**Formation energy (no corrections)**: -2.761 eV/atom

=====

(12)
# BaNa2NbTe

A geometry-optimized BaNa2NbTe structure (PBEsol, Alexandria via LeMat-Bulk).

abc: 5.7300 5.7300 5.3217
angles: 90.00 90.00 90.00
Space group P4/mmm (No. 123)
Unique sites:
Ba1 0.0000 0.0000 0.0000 [1 per cell]
Na1 0.0000 0.5000 0.5000 [2 per cell]
Nb1 0.5000 0.5000 0.5000 [1 per cell]
Te1 0.5000 0.5000 0.0000 [1 per cell]

**DOS at the Fermi energy**: 3.17 states/eV/f.u.
**Spin magnetization**: 2.2 μB per formula unit
**V**: 34.94 Å³ per atom
**Formation energy (no corrections)**: 0.309 eV/atom

=====

(13)
# Ba2NaNi3O6

A geometry-optimized Ba2NaNi3O6 structure (PBEsol, Alexandria via LeMat-Bulk).

abc: 8.2344 11.0740 14.4084
angles: 90.00 90.00 90.00
Space group Fmmm (No. 69)
Unique sites:
Ba1 0.0000 0.2286 0.0000 [8 per cell]
Ba2 0.2500 0.2500 0.2500 [8 per cell]
Na1 0.0000 0.0000 0.3309 [8 per cell]
Ni1 0.1491 0.0000 0.1434 [16 per cell]
Ni2 0.1968 0.0000 0.5000 [8 per cell]
O1 0.0000 0.1126 0.1858 [16 per cell]
O2 0.2086 0.1116 0.4057 [32 per cell]

**DOS at the Fermi energy**: 6.19 states/eV/f.u.
**Spin magnetization**: 1.1 μB per formula unit
**V**: 13.69 Å³ per atom
**Formation energy (no corrections)**: -1.667 eV/atom

=====

(14)
# Ba2NaO

A geometry-optimized Ba2NaO structure (PBEsol, Alexandria via LeMat-Bulk).

abc: 7.9539 7.9539 10.4271
angles: 90.00 90.00 90.00
Space group I-42d (No. 122)
Unique sites:
Ba1 0.1105 0.7500 0.1250 [8 per cell]
Na1 0.0000 0.0000 0.5000 [4 per cell]
O1 0.0000 0.0000 0.0000 [4 per cell]

**DOS at the Fermi energy**: 2.94 states/eV/f.u.
**Spin magnetization**: 0.0 μB per formula unit
**V**: 41.23 Å³ per atom
**Formation energy (no corrections)**: -1.187 eV/atom

=====

(15)
# Ba2Na2O3

A geometry-optimized Ba2Na2O3 structure (PBEsol, Alexandria via LeMat-Bulk).

abc: 7.0036 7.0036 10.8930
angles: 90.00 90.00 90.00
Space group P4_32_12 (No. 96)
Unique sites:
Ba1 0.0307 0.2253 0.3554 [8 per cell]
Na1 0.0385 0.2633 0.8995 [8 per cell]
O1 0.0198 0.2625 0.1219 [8 per cell]
O2 0.1843 0.8157 0.2500 [4 per cell]

**DOS at the Fermi energy**: 0.00 states/eV/f.u.
**Spin magnetization**: 0.0 μB per formula unit
**Distance to the lowest polymorph of the same formula**: 3.3 meV/atom
**V**: 19.08 Å³ per atom
**Formation energy (no corrections)**: -1.859 eV/atom

=====

(16)
# BaNa6O4

A geometry-optimized BaNa6O4 structure (PBEsol, Alexandria via LeMat-Bulk).

abc: 11.3917 11.3917 11.3917
angles: 90.00 90.00 90.00
Space group I-43m (No. 217)
Unique sites:
Ba1 0.1256 0.1256 0.1256 [8 per cell]
Na1 0.0958 0.3766 0.6234 [24 per cell]
Na2 0.1266 0.1266 0.6547 [24 per cell]
O1 0.0000 0.0000 0.0000 [2 per cell]
O2 0.0000 0.0000 0.5000 [6 per cell]
O3 0.0157 0.2604 0.2604 [24 per cell]

**DOS at the Fermi energy**: 0.00 states/eV/f.u.
**Spin magnetization**: 0.0 μB per formula unit
**Distance to the lowest polymorph of the same formula**: 13.3 meV/atom
**V**: 16.80 Å³ per atom
**Formation energy (no corrections)**: -1.402 eV/atom

=====

(17)
# Ba2NaO

A geometry-optimized Ba2NaO structure (PBEsol, Alexandria via LeMat-Bulk).

abc: 6.5774 15.1016 6.9005
angles: 90.00 90.00 90.00
Space group Cmme (No. 67)
Unique sites:
Ba1 0.0000 0.0875 0.1950 [8 per cell]
Na1 0.0000 0.2500 0.6891 [4 per cell]
O1 0.2500 0.0000 0.0000 [4 per cell]

**DOS at the Fermi energy**: 2.14 states/eV/f.u.
**Spin magnetization**: 0.0 μB per formula unit
**V**: 42.84 Å³ per atom
**Formation energy (no corrections)**: -1.273 eV/atom

=====

(18)
# Ba2Na2O3

A geometry-optimized Ba2Na2O3 structure (PBEsol, Alexandria via LeMat-Bulk).

abc: 8.4151 5.4479 5.9141
angles: 90.00 105.89 90.00
Space group P2_1/c (No. 14)
Unique sites:
Ba1 0.1679 0.0325 0.2958 [4 per cell]
Na1 0.4250 0.6322 0.3093 [4 per cell]
O1 0.1675 0.5241 0.3536 [4 per cell]
O2 0.5000 0.0000 0.5000 [2 per cell]

**DOS at the Fermi energy**: 0.00 states/eV/f.u.
**Spin magnetization**: 0.0 μB per formula unit
**Distance to the lowest polymorph of the same formula**: 0.0 meV/atom
**V**: 18.63 Å³ per atom
**Formation energy (no corrections)**: -1.863 eV/atom

=====

(19)
# BaNa6O4

A geometry-optimized BaNa6O4 structure (PBEsol, Alexandria via LeMat-Bulk).

abc: 8.0492 8.0492 5.6419
angles: 90.00 90.00 90.00
Space group P4_2/nmc (No. 137, origin choice 2)
Unique sites:
Ba1 0.2500 0.7500 0.2500 [2 per cell]
Na1 0.0371 0.5371 0.7500 [8 per cell]
Na2 0.2500 0.2500 0.2295 [4 per cell]
O1 0.0186 0.2500 0.9822 [8 per cell]

**DOS at the Fermi energy**: 0.00 states/eV/f.u.
**Spin magnetization**: 0.0 μB per formula unit
**Distance to the lowest polymorph of the same formula**: 0.0 meV/atom
**V**: 16.62 Å³ per atom
**Formation energy (no corrections)**: -1.416 eV/atom